This record from Alexandria describes Nb2AlP after structural relaxation. The functional is GGA-PBE.

Results
The energy above the lowest structure with this stoichiometry is 358 meV per atom. For the theoretical density, the calculation gives 5.777 g cm⁻³. The calculation puts the formation energy at 0.009 eV per atom. The value obtained for the spin magnetization is 0.0 μB/f.u.

a b c (Å): 3.852 3.852 18.886
angles (deg): 90.00 90.00 90.00
Space group I-42d (No. 122)
Unique sites:
Nb1 0.250 0.250 0.125 x8
Al1 0.000 0.000 0.000 x4
P1 0.000 0.000 0.500 x4

This record from Alexandria describes NbAl3P after structural relaxation. The functional is GGA-PBE.

Results
The energy above the lowest structure with this stoichiometry is 0 meV per atom. For the theoretical density, the calculation gives 3.536 g cm⁻³. The calculation puts the formation energy at 0.704 eV per atom. The value obtained for the spin magnetization is 1.2 μB/f.u.

a b c (Å): 4.582 4.582 4.582
angles (deg): 90.00 90.00 90.00
Space group Pm-3m (No. 221)
Unique sites:
Nb1 0.000 0.000 0.000 x1
Al1 0.000 0.500 0.500 x3
P1 0.500 0.500 0.500 x1